# AcLa2TlRu | the Alexandria database | GGA-PBE | relaxed
data_AcLa2TlRu
_symmetry_space_group_name_H-M 'P 1'
_symmetry_Int_Tables_number 1
_cell_length_a 5.466
_cell_length_b 5.466
_cell_length_c 5.771
_cell_angle_alpha 90.00
_cell_angle_beta 90.00
_cell_angle_gamma 90.00
loop_
_symmetry_equiv_pos_as_xyz
'x,y,z'
loop_
_atom_site_label
_atom_site_fract_x
_atom_site_fract_y
_atom_site_fract_z
_atom_site_occupancy
Ac1 0.000 0.000 0.500 1
La1 0.000 0.500 0.998 1
La2 0.500 0.000 0.998 1
Tl1 0.500 0.500 0.503 1
Ru1 0.000 0.000 0.001 1
# Energy of formation = -0.2737 eV/atom
# Spin magnetization = 0.00 μB per formula unit
# SG = No. 99
# Calculated density = 7.8 Mg/m³